Entry from Alexandria via LeMat-Bulk: crystalline Ac2Ce3ErTe6 at its relaxed geometry (PBE).

abc: 7.8614 7.8614 7.9150
angles: 99.57 99.57 120.03
Fractional positions:
1 Ac 0.1646 0.8354 0.0000
2 Ac 0.8354 0.1646 0.0000
3 Ce 0.0000 0.0000 0.5000
4 Ce 0.3234 0.6766 0.5000
5 Ce 0.6766 0.3234 0.5000
6 Er 0.5000 0.5000 0.0000
7 Te 0.1016 0.4178 0.7491
8 Te 0.2732 0.2732 0.2613
9 Te 0.4178 0.1016 0.7491
10 Te 0.5822 0.8984 0.2509
11 Te 0.7268 0.7268 0.7387
12 Te 0.8984 0.5822 0.2509

**Uncorrected formation energy**: -1.37 eV/atom
**SG**: C2/m (12)
**Uncorrected energy**: -5.486 eV per atom